1.
Density functional theory data (PBE) for a relaxed structure of Fe2CoPt. Values from VASP.

Quantum ESPRESSO input file:
```
&SYSTEM
  ibrav = 0, nat = 8, ntyp = 3
/
ATOMIC_SPECIES
Fe 55.84 Fe.upf
Co 58.93 Co.upf
Pt 195.08 Pt.upf
ATOMIC_POSITIONS crystal
Fe 0.2470 0.0000 0.2383
Fe 0.2530 0.5000 0.7617
Fe 0.7470 0.5000 0.2383
Fe 0.7530 0.0000 0.7617
Co 0.0000 0.5000 0.0000
Co 0.5000 0.0000 0.0000
Pt 0.0000 0.0000 0.5000
Pt 0.5000 0.5000 0.5000
CELL_PARAMETERS angstrom
8.6188 0.0000 0.0000
0.0000 2.6709 0.0000
-0.8549 0.0000 4.4562
```

Its space group is C2/m (12). The calculation puts the formation enthalpy at 0 K at -0.0538 eV/atom.

2.
Density functional theory data (PBE) for a relaxed structure of Y2CuB2Rh5. Values from VASP.

Quantum ESPRESSO input file:
```
&SYSTEM
  ibrav = 0, nat = 20, ntyp = 4
/
ATOMIC_SPECIES
Y 88.91 Y.upf
Cu 63.55 Cu.upf
B 10.81 B.upf
Rh 102.91 Rh.upf
ATOMIC_POSITIONS crystal
Y 0.1761 0.3239 0.0000
Y 0.3239 0.8239 0.0000
Y 0.6761 0.1761 0.0000
Y 0.8239 0.6761 0.0000
Cu 0.0000 0.0000 0.0000
Cu 0.5000 0.5000 0.0000
B 0.1247 0.6247 0.0000
B 0.3753 0.1247 0.0000
B 0.6247 0.8753 0.0000
B 0.8753 0.3753 0.0000
Rh 0.0000 0.5000 0.5000
Rh 0.0697 0.7807 0.5000
Rh 0.2193 0.0697 0.5000
Rh 0.2807 0.5697 0.5000
Rh 0.4303 0.2807 0.5000
Rh 0.5000 0.0000 0.5000
Rh 0.5697 0.7193 0.5000
Rh 0.7193 0.4303 0.5000
Rh 0.7807 0.9303 0.5000
Rh 0.9303 0.2193 0.5000
CELL_PARAMETERS angstrom
9.4756 0.0000 0.0000
0.0000 9.4756 0.0000
0.0000 0.0000 3.2019
```

Its space group is P4/mbm (127). The calculation puts the formation enthalpy at 0 K at -0.6461 eV/atom.